No. 1
Below is KTa2Tc after structural relaxation, with properties calculated at the PBE level.

Properties
E_tot = -8.172 eV/atom
formation energy = 0.62 eV/atom
E above lowest polymorph = 62 meV/atom

Lattice parameters (Å, degrees): 3.0768 3.0768 9.9359 90.00 90.00 90.00
Atoms (fractional coordinates):
K  0.0000  0.0000  0.0000
Ta  0.5000  0.5000  0.3377
Ta  0.5000  0.5000  0.6623
Tc  0.0000  0.0000  0.5000

=====

No. 2
Below is KTa2Tc after structural relaxation, with properties calculated at the PBE level.

Properties
E_tot = -7.367 eV/atom
formation energy = 1.43 eV/atom
E above lowest polymorph = 867 meV/atom

Lattice parameters (Å, degrees): 4.7873 4.7873 4.7873 120.15 120.15 89.74
Atoms (fractional coordinates):
K  0.0000  0.0000  0.0000
Ta  0.2500  0.7500  0.5000
Ta  0.5000  0.5000  0.0000
Tc  0.7500  0.2500  0.5000

=====

No. 3
Below is K2TaTc after structural relaxation, with properties calculated at the PBE level.

Properties
E_tot = -4.742 eV/atom
formation energy = 1.36 eV/atom
E above lowest polymorph = 743 meV/atom

Lattice parameters (Å, degrees): 2.7970 2.7970 12.5178 90.00 90.00 111.02
Atoms (fractional coordinates):
K  0.0000  0.0000  0.2321
K  0.0000  0.0000  0.7679
Ta  0.5000  0.5000  0.5000
Tc  0.5000  0.5000  0.0000

=====

No. 4
Below is K2TaTc after structural relaxation, with properties calculated at the PBE level.

Properties
E_tot = -4.687 eV/atom
formation energy = 1.42 eV/atom
E above lowest polymorph = 798 meV/atom

Lattice parameters (Å, degrees): 2.7912 5.3957 6.1918 90.00 90.00 90.00
Atoms (fractional coordinates):
K  0.0000  0.2474  0.0000
K  0.0000  0.7526  0.0000
Ta  0.5000  0.5000  0.5000
Tc  0.5000  0.0000  0.5000

=====

No. 5
Below is K2TaTc after structural relaxation, with properties calculated at the PBE level.

Properties
E_tot = -4.818 eV/atom
formation energy = 1.29 eV/atom
E above lowest polymorph = 667 meV/atom

Lattice parameters (Å, degrees): 2.9489 6.2845 4.9486 90.00 97.32 90.00
Atoms (fractional coordinates):
K  0.2409  0.0000  0.2544
K  0.7591  0.0000  0.7456
Ta  0.5000  0.5000  0.0000
Tc  0.0000  0.5000  0.5000

=====

No. 6
Below is KTa2Tc after structural relaxation, with properties calculated at the PBE level.

Properties
E_tot = -7.578 eV/atom
formation energy = 1.21 eV/atom
E above lowest polymorph = 656 meV/atom

Lattice parameters (Å, degrees): 5.9123 5.9123 2.6897 101.63 101.63 116.74
Atoms (fractional coordinates):
K  0.0000  0.0000  0.0000
Ta  0.0000  0.5000  0.5000
Ta  0.5000  0.0000  0.5000
Tc  0.5000  0.5000  0.0000

=====

No. 7
Below is K2TaTc after structural relaxation, with properties calculated at the PBE level.

Properties
E_tot = -5.401 eV/atom
formation energy = 0.70 eV/atom
E above lowest polymorph = 84 meV/atom

Lattice parameters (Å, degrees): 10.9410 10.9410 4.0029 100.28 100.28 16.80
Atoms (fractional coordinates):
K  0.1496  0.1496  0.1454
K  0.8504  0.8504  0.8546
Ta  0.0000  0.0000  0.5000
Tc  0.5000  0.5000  0.0000

=====

No. 8
Below is K2TaTc after structural relaxation, with properties calculated at the PBE level.

Properties
E_tot = -4.460 eV/atom
formation energy = 1.64 eV/atom
E above lowest polymorph = 1026 meV/atom

Lattice parameters (Å, degrees): 5.0324 5.0324 5.0324 119.96 119.96 90.07
Atoms (fractional coordinates):
K  0.0000  0.0000  0.0000
K  0.7500  0.2500  0.5000
Ta  0.5000  0.5000  0.0000
Tc  0.2500  0.7500  0.5000

=====

No. 9
Below is K2TaTc after structural relaxation, with properties calculated at the PBE level.

Properties
E_tot = -4.818 eV/atom
formation energy = 1.29 eV/atom
E above lowest polymorph = 667 meV/atom

Lattice parameters (Å, degrees): 6.8489 6.8489 2.9583 99.90 99.90 133.34
Atoms (fractional coordinates):
K  0.0000  0.5000  0.0000
K  0.5000  0.0000  0.0000
Ta  0.0000  0.0000  0.5000
Tc  0.5000  0.5000  0.5000

=====

No. 10
Below is KTa2Tc after structural relaxation, with properties calculated at the PBE level.

Properties
E_tot = -7.963 eV/atom
formation energy = 0.83 eV/atom
E above lowest polymorph = 271 meV/atom

Lattice parameters (Å, degrees): 8.3616 8.3616 8.3616 157.94 149.75 37.76
Atoms (fractional coordinates):
K  0.0000  0.0000  0.0000
Ta  0.2861  0.7861  0.5000
Ta  0.6796  0.6796  0.0000
Tc  0.8008  0.3008  0.5000

=====

No. 11
Below is KTa2Tc after structural relaxation, with properties calculated at the PBE level.

Properties
E_tot = -7.747 eV/atom
formation energy = 1.05 eV/atom
E above lowest polymorph = 487 meV/atom

Lattice parameters (Å, degrees): 6.1194 6.1194 6.1194 151.96 125.77 62.15
Atoms (fractional coordinates):
K  0.0000  0.0000  0.0000
Ta  0.2985  0.7985  0.5000
Ta  0.7015  0.2015  0.5000
Tc  0.5000  0.5000  0.0000

=====

No. 12
Below is K2TaTc after structural relaxation, with properties calculated at the PBE level.

Properties
E_tot = -4.689 eV/atom
formation energy = 1.41 eV/atom
E above lowest polymorph = 797 meV/atom

Lattice parameters (Å, degrees): 6.7406 6.7406 2.7855 90.00 90.00 132.75
Atoms (fractional coordinates):
K  0.0000  0.5000  0.0000
K  0.5000  0.0000  0.0000
Ta  0.0000  0.0000  0.5000
Tc  0.5000  0.5000  0.5000

=====

No. 13
Below is K2TaTc after structural relaxation, with properties calculated at the PBE level.

Properties
E_tot = -5.485 eV/atom
formation energy = 0.62 eV/atom
E above lowest polymorph = 0 meV/atom

Lattice parameters (Å, degrees): 3.3541 3.3541 11.0816 90.00 90.00 90.00
Atoms (fractional coordinates):
K  0.0000  0.0000  0.0000
K  0.5000  0.5000  0.3873
Ta  0.0000  0.0000  0.6649
Tc  0.5000  0.5000  0.7617

=====

No. 14
Below is KTa2Tc after structural relaxation, with properties calculated at the PBE level.

Properties
E_tot = -8.156 eV/atom
formation energy = 0.64 eV/atom
E above lowest polymorph = 78 meV/atom

Lattice parameters (Å, degrees): 3.1625 3.1625 9.2977 90.00 90.00 90.00
Atoms (fractional coordinates):
K  0.0000  0.0000  0.0000
Ta  0.0000  0.0000  0.5493
Ta  0.5000  0.5000  0.3552
Tc  0.5000  0.5000  0.6960

=====

No. 15
Below is KTa2Tc after structural relaxation, with properties calculated at the PBE level.

Properties
E_tot = -8.138 eV/atom
formation energy = 0.65 eV/atom
E above lowest polymorph = 96 meV/atom

Lattice parameters (Å, degrees): 3.1582 3.9951 8.0221 90.00 90.00 90.00
Atoms (fractional coordinates):
K  0.0000  0.0000  0.0000
Ta  0.0000  0.0000  0.5331
Ta  0.5000  0.5000  0.3662
Tc  0.5000  0.5000  0.6591

=====

No. 16
Below is KTaTc4 after structural relaxation, with properties calculated at the PBE level.

Properties
E_tot = -8.298 eV/atom
formation energy = 0.77 eV/atom

Lattice parameters (Å, degrees): 5.2969 5.2969 5.2969 60.00 60.00 60.00
Atoms (fractional coordinates):
K  0.0000  0.0000  0.0000
Ta  0.7500  0.7500  0.7500
Tc  0.3753  0.3753  0.3753
Tc  0.3753  0.3753  0.8741
Tc  0.3753  0.8741  0.3753
Tc  0.8741  0.3753  0.3753

=====

No. 17
Below is KTa2Tc after structural relaxation, with properties calculated at the PBE level.

Properties
E_tot = -7.360 eV/atom
formation energy = 1.43 eV/atom
E above lowest polymorph = 874 meV/atom

Lattice parameters (Å, degrees): 2.7087 5.3960 5.4181 90.00 90.00 90.00
Atoms (fractional coordinates):
K  0.0000  0.0000  0.0000
Ta  0.0000  0.5000  0.5000
Ta  0.5000  0.0000  0.5000
Tc  0.5000  0.5000  0.0000

=====

No. 18
Below is K2TaTc after structural relaxation, with properties calculated at the PBE level.

Properties
E_tot = -5.365 eV/atom
formation energy = 0.74 eV/atom
E above lowest polymorph = 120 meV/atom

Lattice parameters (Å, degrees): 3.4070 3.4070 12.0589 98.39 98.39 60.02
Atoms (fractional coordinates):
K  0.0000  0.0000  0.0000
K  0.2240  0.2240  0.6460
Ta  0.4616  0.4616  0.3699
Tc  0.7499  0.7499  0.2394

=====

No. 19
Below is KTa3Tc after structural relaxation, with properties calculated at the PBE level.

Properties
E_tot = -8.075 eV/atom
formation energy = 1.33 eV/atom
E above lowest polymorph = 0 meV/atom

Lattice parameters (Å, degrees): 4.9482 4.9482 4.9482 90.00 90.00 90.00
Atoms (fractional coordinates):
K  0.0000  0.0000  0.0000
Ta  0.0000  0.5000  0.5000
Ta  0.5000  0.0000  0.5000
Ta  0.5000  0.5000  0.0000
Tc  0.5000  0.5000  0.5000

=====

No. 20
Below is KTa2Tc after structural relaxation, with properties calculated at the PBE level.

Properties
E_tot = -7.446 eV/atom
formation energy = 1.35 eV/atom
E above lowest polymorph = 788 meV/atom

Lattice parameters (Å, degrees): 5.7558 5.7558 2.6894 90.00 90.00 118.18
Atoms (fractional coordinates):
K  0.0000  0.0000  0.0000
Ta  0.0000  0.5000  0.5000
Ta  0.5000  0.0000  0.5000
Tc  0.5000  0.5000  0.0000

=====

No. 21
Below is K2TaTc after structural relaxation, with properties calculated at the PBE level.

Properties
E_tot = -4.654 eV/atom
formation energy = 1.45 eV/atom
E above lowest polymorph = 831 meV/atom

Lattice parameters (Å, degrees): 2.7493 2.7493 12.4039 90.00 90.00 90.00
Atoms (fractional coordinates):
K  0.0000  0.0000  0.2296
K  0.0000  0.0000  0.7704
Ta  0.5000  0.5000  0.5000
Tc  0.5000  0.5000  0.0000

=====

No. 22
Below is KTa2Tc after structural relaxation, with properties calculated at the PBE level.

Properties
E_tot = -7.548 eV/atom
formation energy = 1.24 eV/atom
E above lowest polymorph = 686 meV/atom

Lattice parameters (Å, degrees): 4.7346 4.7346 4.7346 60.00 60.00 60.00
Atoms (fractional coordinates):
K  0.0000  0.0000  0.0000
Ta  0.2500  0.2500  0.2500
Ta  0.7500  0.7500  0.7500
Tc  0.5000  0.5000  0.5000

=====

No. 23
Below is KTa3Tc after structural relaxation, with properties calculated at the PBE level.

Properties
E_tot = -6.349 eV/atom
formation energy = 3.06 eV/atom
E above lowest polymorph = 1726 meV/atom

Lattice parameters (Å, degrees): 4.5437 4.5437 4.5437 90.00 90.00 90.00
Atoms (fractional coordinates):
K  0.0000  0.0000  0.0000
Ta  0.0000  0.0000  0.5000
Ta  0.0000  0.5000  0.0000
Ta  0.5000  0.0000  0.0000
Tc  0.5000  0.5000  0.5000

=====

No. 24
Below is K2TaTc after structural relaxation, with properties calculated at the PBE level.

Properties
E_tot = -4.787 eV/atom
formation energy = 1.32 eV/atom
E above lowest polymorph = 698 meV/atom

Lattice parameters (Å, degrees): 6.7745 6.7745 6.7745 146.91 146.91 47.49
Atoms (fractional coordinates):
K  0.2500  0.7500  0.5000
K  0.7500  0.2500  0.5000
Ta  0.0000  0.0000  0.0000
Tc  0.5000  0.5000  0.0000

=====

No. 25
Below is KTaTc after structural relaxation, with properties calculated at the PBE level.

Properties
E_tot = -6.781 eV/atom
formation energy = 0.99 eV/atom
E above lowest polymorph = 317 meV/atom

Lattice parameters (Å, degrees): 2.8902 2.8902 8.5255 90.00 90.00 120.00
Atoms (fractional coordinates):
K  0.0000  0.0000  0.0000
Ta  0.6667  0.3333  0.3836
Tc  0.3333  0.6667  0.6537

=====

No. 26
Below is K2TaTc after structural relaxation, with properties calculated at the PBE level.

Properties
E_tot = -5.132 eV/atom
formation energy = 0.97 eV/atom
E above lowest polymorph = 353 meV/atom

Lattice parameters (Å, degrees): 7.0851 7.0851 7.0851 152.94 125.65 61.75
Atoms (fractional coordinates):
K  0.0000  0.0000  0.0000
K  0.7028  0.2028  0.5000
Ta  0.3020  0.8020  0.5000
Tc  0.4376  0.4376  0.0000

=====

No. 27
Below is K2TaTc after structural relaxation, with properties calculated at the PBE level.

Properties
E_tot = -4.618 eV/atom
formation energy = 1.49 eV/atom
E above lowest polymorph = 867 meV/atom

Lattice parameters (Å, degrees): 9.3324 9.3324 9.3324 93.35 93.35 152.03
Atoms (fractional coordinates):
K  0.3750  0.2070  0.3320
K  0.7930  0.1250  0.1680
K  0.8750  0.0430  0.6680
K  0.9570  0.6250  0.8320
Ta  0.2500  0.7500  0.5000
Ta  0.5000  0.5000  0.0000
Tc  0.0000  0.0000  0.0000
Tc  0.7500  0.2500  0.5000

=====

No. 28
Below is K2TaTc after structural relaxation, with properties calculated at the PBE level.

Properties
E_tot = -3.477 eV/atom
formation energy = 2.63 eV/atom
E above lowest polymorph = 2008 meV/atom

Lattice parameters (Å, degrees): 5.2648 5.2648 5.2648 60.00 60.00 60.00
Atoms (fractional coordinates):
K  0.2500  0.2500  0.2500
K  0.7500  0.7500  0.7500
Ta  0.0000  0.0000  0.0000
Tc  0.5000  0.5000  0.5000

=====

No. 29
Below is KTaTc after structural relaxation, with properties calculated at the PBE level.

Properties
E_tot = -7.040 eV/atom
formation energy = 0.73 eV/atom
E above lowest polymorph = 58 meV/atom

Lattice parameters (Å, degrees): 8.4942 8.2583 3.0456 83.92 75.19 20.89
Atoms (fractional coordinates):
K  0.0000  0.0000  0.0000
Ta  0.2967  0.2967  0.7033
Tc  0.6832  0.6832  0.3168

=====

No. 30
Below is KY2TaTc after structural relaxation, with properties calculated at the PBE level.

Properties
E_tot = -5.429 eV/atom
formation energy = 1.82 eV/atom

Lattice parameters (Å, degrees): 5.4358 5.4358 5.7914 90.00 90.00 90.00
Atoms (fractional coordinates):
K  0.0000  0.0000  0.0000
Y  0.0000  0.5000  0.5000
Y  0.5000  0.0000  0.5000
Ta  0.0000  0.0000  0.5000
Tc  0.5000  0.5000  0.0000